1.
Compound: Cd2GaSi
Source: Alexandria
Functional: PBE-GGA
Structure: relaxed

Cell: 4.0413 4.0413 10.7202 Å, 79.14 79.14 90.00°
Fractional positions:
Cd  0.1269  0.6250  0.2500
Cd  0.8750  0.8731  0.7500
Cd  0.6231  0.1250  0.2500
Cd  0.3750  0.3769  0.7500
Ga  0.0000  0.0000  0.0000
Ga  0.7500  0.2500  0.5000
Si  0.5000  0.5000  0.0000
Si  0.2500  0.7500  0.5000

DOS at the Fermi energy, states/eV/f.u.: 1.85


2.
Compound: Cd2Ga2Si
Source: Alexandria
Functional: PBE-GGA
Structure: relaxed

Cell: 7.9174 7.9174 3.3646 Å, 90.00 90.00 90.00°
Fractional positions:
Ga  0.1727  0.3273  0.0000
Ga  0.6727  0.1727  0.0000
Ga  0.3273  0.8273  0.0000
Ga  0.8273  0.6727  0.0000
Cd  0.8675  0.3675  0.5000
Cd  0.3675  0.1325  0.5000
Cd  0.1325  0.6325  0.5000
Cd  0.6325  0.8675  0.5000
Si  0.0000  0.0000  0.0000
Si  0.5000  0.5000  0.0000

DOS at the Fermi energy, states/eV/f.u.: 2.04


3.
Compound: CdGa3Si
Source: Alexandria
Functional: PBE-GGA
Structure: relaxed

Cell: 5.1034 5.1034 5.1034 Å, 90.00 90.00 90.00°
Fractional positions:
Si  0.5000  0.5000  0.5000
Ga  0.0000  0.0000  0.5000
Ga  0.5000  0.0000  0.0000
Ga  0.0000  0.5000  0.0000
Cd  0.0000  0.0000  0.0000

DOS at the Fermi energy, states/eV/f.u.: 7.60


| no. | raw formation energy (eV/f.u.) |
| --- | --- |
| 1 | 1.19 |
| 2 | 1.70 |
| 3 | 4.15 |